[1]
YErNi2C2N2 (PBE-GGA, relaxed); uncorrected energy = -62.4 eV for the cell shown; total magnetic moment = 0.000 μB per cell; ρ = 8.1 g/cm3
1.0
3.445 0.000 0.000
0.000 3.445 0.000
0.000 0.000 7.312
N Y C Ni Er
2 1 2 2 1
Cartesian
1.723 1.723 6.235
0.000 0.000 1.065
1.723 1.723 1.263
1.723 1.723 4.831
0.000 0.000 2.471
1.723 0.000 3.665
0.000 1.723 3.665
0.000 0.000 6.055



[2]
PrErCN2O2 (PBE-GGA, relaxed); uncorrected energy = -59.8 eV for the cell shown; total magnetic moment = 0.005 μB per cell; ρ = 6.1 g/cm3
1.0
3.797 0.000 0.000
-1.898 3.288 0.000
0.000 0.000 8.225
Pr C N O Er
1 1 2 2 1
Cartesian
1.898 1.096 5.600
0.000 0.000 0.048
0.000 0.000 1.279
0.000 0.000 7.035
0.000 2.192 4.873
1.898 1.096 3.183
0.000 2.192 2.656



[3]
ErScCN2O2 (PBE-GGA, relaxed); uncorrected energy = -61.5 eV for the cell shown; total magnetic moment = 0.003 μB per cell; ρ = 5.4 g/cm3
1.0
3.551 0.000 0.000
-1.776 3.075 0.000
0.000 0.000 8.010
N O C Er Sc
2 2 1 1 1
Cartesian
0.000 0.000 1.199
0.000 0.000 6.743
1.776 1.025 3.259
0.000 2.050 4.891
0.000 0.000 7.970
0.000 2.050 2.583
1.776 1.025 5.394



[4]
TbErCN2O2 (PBE-GGA, relaxed); uncorrected energy = -60.3 eV for the cell shown; total magnetic moment = 0.004 μB per cell; ρ = 6.9 g/cm3
1.0
3.695 0.000 0.000
-1.848 3.200 0.000
0.000 0.000 8.125
Er C Tb O N
1 1 1 2 2
Cartesian
0.000 2.134 2.630
0.000 0.000 0.011
1.848 1.067 5.507
1.848 1.067 3.203
0.000 2.134 4.877
0.000 0.000 6.902
0.000 0.000 1.245